1.
VASP calculation (PBE) on a geometry-optimized Y2PuInN4 structure.

Properties
Space-group type = P2/m, No. 10

Cell and atoms, written as POSCAR:
```
Y2PuInN4
1.0
3.466 0.000 0.000
0.000 5.954 0.049
0.000 -2.134 5.611
N Y Pu In
4 2 1 1
Cartesian
1.733 0.955 1.388
0.000 -0.047 4.216
0.000 3.867 1.444
1.733 2.865 4.272
0.000 1.910 2.830
1.733 -1.067 2.806
1.733 2.977 0.024
0.000 0.000 0.000
```

=====

2.
VASP calculation (PBE) on a geometry-optimized Rb2InRuN structure.

Properties
Space-group type = P4/mmm, No. 123

Cell and atoms, written as POSCAR:
```
Rb2InRuN
1.0
6.870 0.000 0.000
0.000 5.043 0.000
0.000 0.000 6.870
Rb In N Ru
2 1 1 1
Cartesian
0.000 0.000 3.435
3.435 0.000 0.000
0.000 0.000 0.000
3.435 2.522 3.435
0.000 2.522 0.000
```

=====

3.
VASP calculation (PBE) on a geometry-optimized RbInRu2N structure.

Properties
Space-group type = P4/mmm, No. 123

Cell and atoms, written as POSCAR:
```
RbInRu2N
1.0
5.035 0.000 0.000
0.000 4.395 0.000
0.000 0.000 5.035
In N Ru Rb
1 1 2 1
Cartesian
2.518 2.197 2.518
0.000 2.197 0.000
0.000 0.000 2.518
2.518 0.000 0.000
0.000 0.000 0.000
```

=====

4.
VASP calculation (PBE) on a geometry-optimized RbInS2N structure.

Properties
Space-group type = P4/mmm, No. 123
Energy above the most stable polymorph in this dataset = 5.28 eV/f.u.

Cell and atoms, written as POSCAR:
```
RbInS2N
1.0
6.012 0.000 0.000
0.000 6.012 0.000
0.000 0.000 5.399
S N In Rb
2 1 1 1
Cartesian
0.000 3.006 0.000
3.006 0.000 0.000
0.000 0.000 2.699
3.006 3.006 2.699
0.000 0.000 0.000
```

=====

Quick rundown of energy relative to the elements, uncorrected, same order as above: -1030 1716 2852 1387 meV/atom